Y3SiNi | PBE | optimized geometry

The value obtained for the energy relative to the lowest polymorph listed for this composition is 0.000 eV per atom. Its symmetry is Cmmm.

a = 10.3047 Å, b = 10.3047 Å, c = 4.7796 Å
α = 90.00°, β = 90.00°, γ = 150.02°
Fractional coordinates of all 10 atoms:
Y (0.0952, 0.9048, 0.5000)
Y (0.9048, 0.0952, 0.5000)
Ni (0.4430, 0.5570, 0.5000)
Si (0.8170, 0.1830, 0.0000)
Y (0.4105, 0.5895, 0.0000)
Y (0.7113, 0.2887, 0.5000)
Si (0.1830, 0.8170, 0.0000)
Y (0.5895, 0.4105, 0.0000)
Y (0.2887, 0.7113, 0.5000)
Ni (0.5570, 0.4430, 0.5000)


Ti7Tl2Mo | PBE | optimized geometry

The value obtained for the energy of formation from the pure elements is 0.75 eV/atom. Its symmetry is Fm-3m.

a = 6.6960 Å, b = 6.6960 Å, c = 6.6960 Å
α = 60.00°, β = 60.00°, γ = 60.00°
Fractional coordinates of all 10 atoms:
Ti (0.2513, 0.7487, 0.7487)
Tl (0.7500, 0.7500, 0.7500)
Ti (0.2513, 0.7487, 0.2513)
Ti (0.7487, 0.7487, 0.2513)
Ti (0.7487, 0.2513, 0.2513)
Ti (0.2513, 0.2513, 0.7487)
Tl (0.2500, 0.2500, 0.2500)
Ti (0.5000, 0.5000, 0.5000)
Mo (0.0000, 0.0000, 0.0000)
Ti (0.7487, 0.2513, 0.7487)


BaInTe2 | PBE | optimized geometry

Its symmetry is C2/m. The total energy is -3.614 eV per atom.

a = 4.7483 Å, b = 4.7483 Å, c = 8.3308 Å
α = 73.43°, β = 73.43°, γ = 59.88°
Fractional coordinates of all 4 atoms:
Ba (0.7500, 0.7500, 0.7500)
Te (0.9908, 0.9908, 0.0267)
In (0.2500, 0.2500, 0.2500)
Te (0.5092, 0.5092, 0.4733)


Ti3VNi2 | PBE | optimized geometry

The value obtained for the energy of formation from the pure elements is -0.23 eV/atom. Its symmetry is P4/mmm.

a = 2.9450 Å, b = 2.9450 Å, c = 9.7779 Å
α = 90.00°, β = 90.00°, γ = 90.00°
Fractional coordinates of all 6 atoms:
Ti (0.0000, 0.0000, 0.0000)
V (0.5000, 0.5000, 0.5000)
Ni (0.5000, 0.5000, 0.1676)
Ti (0.0000, 0.0000, 0.3276)
Ti (0.0000, 0.0000, 0.6724)
Ni (0.5000, 0.5000, 0.8324)